1.
Density functional theory data (PBE-GGA) for SrZn4Pd2 after structural relaxation.

## Properties
E ... -0.0954 Ha/atom
M_tot ... 0.000 μB/cell
Density of states at the Fermi level ... 0.33 states/eV per atom
Calculated formation energy ... -0.14 eV per atom
Volume ... 23.54 Å³/atom

Cell: 6.052 6.052 6.052 Å, 103.75 103.75 121.65°
Sites, in units of the cell vectors:
Sr1 0.000 0.000 0.000
Zn1 0.500 0.262 0.762
Zn2 0.500 0.738 0.238
Zn3 0.738 0.500 0.238
Zn4 0.262 0.500 0.762
Pd1 0.250 0.750 0.500
Pd2 0.750 0.250 0.500

2.
Density functional theory data (PBE-GGA) for AcHo4TmS8 after structural relaxation.

## Properties
E ... -0.2278 Ha/atom
Energy relative to the elements, uncorrected ... -1.919 eV/atom
M_tot ... 0.000 μB/cell
Density of states at the Fermi level ... 0.62 states/eV per atom
Volume ... 27.06 Å³/atom

Cell: 8.129 8.129 8.114 Å, 59.94 59.94 60.00°
Sites, in units of the cell vectors:
Ho1 0.507 0.998 0.498
Ho2 0.998 0.998 0.498
Ho3 0.624 0.624 0.127
Ho4 0.998 0.507 0.498
S1 0.234 0.234 0.297
S2 0.230 0.758 0.253
S3 0.233 0.233 0.736
S4 0.758 0.758 0.253
S5 0.233 0.798 0.736
S6 0.756 0.756 0.732
S7 0.798 0.233 0.736
S8 0.758 0.230 0.253
Ac1 0.375 0.375 0.875
Tm1 0.998 0.998 0.006

3.
Density functional theory data (PBE-GGA) for Nd6SmEr2Tm3 after structural relaxation.

## Properties
E ... -0.1706 Ha/atom
M_tot ... 0.000 μB/cell
Density of states at the Fermi level ... 1.06 states/eV per atom
Calculated formation energy ... 0.01 eV per atom
Volume ... 32.79 Å³/atom

Cell: 6.253 6.253 11.802 Å, 95.05 95.05 119.99°
Sites, in units of the cell vectors:
Tm1 0.500 0.500 0.500
Tm2 0.833 0.167 0.500
Tm3 0.167 0.833 0.500
Nd1 0.084 0.418 0.252
Nd2 0.418 0.084 0.252
Nd3 0.249 0.249 0.748
Nd4 0.582 0.916 0.748
Nd5 0.916 0.582 0.748
Nd6 0.751 0.751 0.252
Er1 0.667 0.333 0.000
Er2 0.333 0.667 0.000
Sm1 0.000 0.000 0.000